(1)
Entry from Alexandria: crystalline PtO2F at its relaxed geometry (PBE-GGA).

abc: 5.249 5.249 5.249
angles: 90.00 90.00 90.00
Fractional positions:
Pt  0.000  0.000  0.000
Pt  0.000  0.500  0.500
Pt  0.500  0.000  0.500
Pt  0.500  0.500  0.000
O  0.250  0.250  0.250
O  0.250  0.250  0.750
O  0.250  0.750  0.250
O  0.250  0.750  0.750
O  0.750  0.250  0.250
O  0.750  0.250  0.750
O  0.750  0.750  0.250
O  0.750  0.750  0.750
F  0.000  0.000  0.500
F  0.000  0.500  0.000
F  0.500  0.000  0.000
F  0.500  0.500  0.500


(2)
Entry from Alexandria: crystalline Pt2O2F7 at its relaxed geometry (PBE-GGA).

abc: 5.555 5.555 5.977
angles: 95.45 95.45 74.20
Fractional positions:
Pt  0.240  0.240  0.033
Pt  0.760  0.760  0.967
O  0.091  0.909  0.500
O  0.909  0.091  0.500
F  0.000  0.000  0.000
F  0.045  0.506  0.809
F  0.446  0.446  0.177
F  0.494  0.955  0.191
F  0.506  0.045  0.809
F  0.554  0.554  0.823
F  0.955  0.494  0.191


(3)
Entry from Alexandria: crystalline PtO2F at its relaxed geometry (PBE-GGA).

abc: 4.919 4.919 10.365
angles: 90.00 90.00 90.00
Fractional positions:
Pt  0.000  0.000  0.000
Pt  0.000  0.500  0.250
Pt  0.500  0.000  0.750
Pt  0.500  0.500  0.500
O  0.144  0.250  0.125
O  0.250  0.644  0.375
O  0.250  0.856  0.875
O  0.356  0.250  0.625
O  0.644  0.750  0.625
O  0.750  0.144  0.875
O  0.750  0.356  0.375
O  0.856  0.750  0.125
F  0.000  0.000  0.500
F  0.000  0.500  0.750
F  0.500  0.000  0.250
F  0.500  0.500  0.000


(4)
Entry from Alexandria: crystalline PtOF4 at its relaxed geometry (PBE-GGA).

abc: 5.213 5.403 6.885
angles: 84.17 69.88 88.55
Fractional positions:
Pt  0.000  0.000  0.000
Pt  0.500  0.500  0.000
O  0.050  0.313  0.483
O  0.950  0.687  0.517
F  0.115  0.303  0.095
F  0.251  0.105  0.721
F  0.286  0.817  0.092
F  0.474  0.409  0.288
F  0.526  0.591  0.712
F  0.714  0.183  0.908
F  0.749  0.895  0.279
F  0.885  0.697  0.905


(5)
Entry from Alexandria: crystalline Pt3OF at its relaxed geometry (PBE-GGA).

Output
Energy above the most stable polymorph in this dataset ... 0 meV/atom

abc: 4.217 4.217 4.217
angles: 90.00 90.00 90.00
Fractional positions:
Pt  0.000  0.000  0.500
Pt  0.000  0.500  0.000
Pt  0.500  0.000  0.000
O  0.000  0.000  0.000
F  0.500  0.500  0.500


(6)
Entry from Alexandria: crystalline PtOF2 at its relaxed geometry (PBE-GGA).

Output
Energy above the most stable polymorph in this dataset ... 0 meV/atom

abc: 8.487 8.487 3.685
angles: 90.00 90.00 90.00
Fractional positions:
Pt  0.000  0.000  0.000
Pt  0.000  0.500  0.250
Pt  0.500  0.000  0.750
Pt  0.500  0.500  0.500
O  0.000  0.000  0.500
O  0.000  0.500  0.750
O  0.500  0.000  0.250
O  0.500  0.500  0.000
F  0.006  0.250  0.125
F  0.250  0.506  0.375
F  0.250  0.994  0.875
F  0.494  0.250  0.625
F  0.506  0.750  0.625
F  0.750  0.006  0.875
F  0.750  0.494  0.375
F  0.994  0.750  0.125


(7)
Entry from Alexandria: crystalline PtO2F at its relaxed geometry (PBE-GGA).

abc: 3.189 3.189 16.857
angles: 90.00 90.00 120.00
Fractional positions:
Pt  0.000  0.000  0.000
Pt  0.333  0.667  0.667
Pt  0.667  0.333  0.333
O  0.000  0.000  0.280
O  0.000  0.000  0.720
O  0.333  0.667  0.386
O  0.333  0.667  0.947
O  0.667  0.333  0.053
O  0.667  0.333  0.614
F  0.000  0.000  0.500
F  0.333  0.667  0.167
F  0.667  0.333  0.833


(8)
Entry from Alexandria: crystalline Pt2OF2 at its relaxed geometry (PBE-GGA).

Output
Energy above the most stable polymorph in this dataset ... 0 meV/atom

abc: 5.854 5.854 4.149
angles: 90.00 90.00 90.00
Fractional positions:
Pt  0.246  0.254  0.000
Pt  0.254  0.754  0.000
Pt  0.746  0.246  0.000
Pt  0.754  0.746  0.000
O  0.000  0.000  0.000
O  0.500  0.500  0.000
F  0.230  0.270  0.500
F  0.270  0.770  0.500
F  0.730  0.230  0.500
F  0.770  0.730  0.500


(9)
Entry from Alexandria: crystalline Pt2OF2 at its relaxed geometry (PBE-GGA).

Output
Energy above the most stable polymorph in this dataset ... 723 meV/atom

abc: 3.364 3.364 11.480
angles: 90.00 90.00 90.00
Fractional positions:
Pt  0.000  0.000  0.105
Pt  0.000  0.000  0.895
Pt  0.500  0.500  0.395
Pt  0.500  0.500  0.605
O  0.000  0.000  0.500
O  0.500  0.500  0.000
F  0.000  0.500  0.250
F  0.000  0.500  0.750
F  0.500  0.000  0.250
F  0.500  0.000  0.750


(10)
Entry from Alexandria: crystalline PtO2F at its relaxed geometry (PBE-GGA).

abc: 4.212 8.862 3.055
angles: 90.00 90.00 90.00
Fractional positions:
Pt  0.000  0.000  0.000
Pt  0.500  0.500  0.000
O  0.000  0.138  0.500
O  0.000  0.862  0.500
O  0.500  0.362  0.500
O  0.500  0.638  0.500
F  0.000  0.500  0.000
F  0.500  0.000  0.000


(11)
Entry from Alexandria: crystalline PtOF2 at its relaxed geometry (PBE-GGA).

Output
Energy above the most stable polymorph in this dataset ... 932 meV/atom

abc: 2.676 2.676 27.464
angles: 90.00 90.00 120.00
Fractional positions:
Pt  0.000  0.000  0.000
Pt  0.333  0.667  0.667
Pt  0.667  0.333  0.333
O  0.000  0.000  0.500
O  0.333  0.667  0.167
O  0.667  0.333  0.833
F  0.000  0.000  0.070
F  0.000  0.000  0.930
F  0.333  0.667  0.597
F  0.333  0.667  0.736
F  0.667  0.333  0.264
F  0.667  0.333  0.403


(12)
Entry from Alexandria: crystalline PtOF2 at its relaxed geometry (PBE-GGA).

Output
Energy above the most stable polymorph in this dataset ... 1190 meV/atom

abc: 5.528 5.528 5.528
angles: 90.00 90.00 90.00
Fractional positions:
Pt  0.000  0.000  0.000
Pt  0.000  0.500  0.500
Pt  0.500  0.000  0.500
Pt  0.500  0.500  0.000
O  0.000  0.000  0.500
O  0.000  0.500  0.000
O  0.500  0.000  0.000
O  0.500  0.500  0.500
F  0.250  0.250  0.250
F  0.250  0.250  0.750
F  0.250  0.750  0.250
F  0.250  0.750  0.750
F  0.750  0.250  0.250
F  0.750  0.250  0.750
F  0.750  0.750  0.250
F  0.750  0.750  0.750


(13)
Entry from Alexandria: crystalline PtOF2 at its relaxed geometry (PBE-GGA).

Output
Energy above the most stable polymorph in this dataset ... 1125 meV/atom

abc: 2.729 2.729 22.217
angles: 90.00 90.00 120.00
Fractional positions:
Pt  0.000  0.000  0.000
Pt  0.333  0.667  0.667
Pt  0.667  0.333  0.333
O  0.000  0.000  0.500
O  0.333  0.667  0.167
O  0.667  0.333  0.833
F  0.000  0.000  0.424
F  0.000  0.000  0.576
F  0.333  0.667  0.091
F  0.333  0.667  0.242
F  0.667  0.333  0.758
F  0.667  0.333  0.909


(14)
Entry from Alexandria: crystalline Rb5PtO4F2 at its relaxed geometry (PBE-GGA).

abc: 7.850 6.231 6.231
angles: 112.45 90.00 90.00
Fractional positions:
Rb  0.000  0.000  0.000
Rb  0.266  0.299  0.675
Rb  0.266  0.675  0.299
Rb  0.734  0.299  0.675
Rb  0.734  0.675  0.299
Pt  0.500  0.997  0.997
O  0.326  0.191  0.191
O  0.500  0.668  0.928
O  0.500  0.928  0.668
O  0.674  0.191  0.191
F  0.000  0.540  0.965
F  0.000  0.965  0.540


(15)
Entry from Alexandria: crystalline RbPtO2F at its relaxed geometry (PBE-GGA).

abc: 4.369 4.369 4.850
angles: 90.00 90.00 90.00
Fractional positions:
Rb  0.000  0.000  0.000
Pt  0.500  0.500  0.500
O  0.000  0.500  0.000
O  0.500  0.000  0.000
F  0.000  0.000  0.500


(16)
Entry from Alexandria: crystalline RbPtO2F at its relaxed geometry (PBE-GGA).

abc: 3.802 3.802 6.300
angles: 90.00 90.00 90.00
Fractional positions:
Rb  0.000  0.000  0.000
Pt  0.500  0.500  0.500
O  0.000  0.500  0.500
O  0.500  0.000  0.500
F  0.500  0.500  0.000


(17)
Entry from Alexandria: crystalline Rb2PtOF6 at its relaxed geometry (PBE-GGA).

abc: 6.478 6.478 6.478
angles: 122.07 122.07 86.45
Fractional positions:
Rb  0.250  0.750  0.500
Rb  0.750  0.250  0.500
Pt  0.000  0.000  0.000
O  0.500  0.500  0.000
F  0.209  0.209  0.000
F  0.223  0.223  0.445
F  0.223  0.777  0.000
F  0.777  0.223  0.000
F  0.777  0.777  0.555
F  0.791  0.791  0.000


(18)
Entry from Alexandria: crystalline PtRhOF2 at its relaxed geometry (PBE-GGA).

Output
Energy above the most stable polymorph in this dataset ... 0 meV/atom

abc: 4.344 4.344 3.700
angles: 90.00 90.00 90.00
Fractional positions:
Pt  0.000  0.000  0.000
Rh  0.500  0.500  0.500
O  0.500  0.500  0.000
F  0.000  0.500  0.500
F  0.500  0.000  0.500


(19)
Entry from Alexandria: crystalline PtRhOF2 at its relaxed geometry (PBE-GGA).

Output
Energy above the most stable polymorph in this dataset ... 106 meV/atom

abc: 4.457 4.457 3.777
angles: 90.00 90.00 90.00
Fractional positions:
Pt  0.000  0.000  0.000
Rh  0.500  0.500  0.500
O  0.000  0.000  0.500
F  0.000  0.500  0.000
F  0.500  0.000  0.000


(20)
Entry from Alexandria: crystalline PtRhO2F at its relaxed geometry (PBE-GGA).

abc: 3.753 3.753 5.355
angles: 90.00 90.00 90.00
Fractional positions:
Pt  0.000  0.000  0.000
Rh  0.500  0.500  0.500
O  0.000  0.500  0.000
O  0.500  0.000  0.000
F  0.000  0.000  0.500


(21)
Entry from Alexandria: crystalline PtRhO2F at its relaxed geometry (PBE-GGA).

abc: 3.937 3.937 4.105
angles: 90.00 90.00 90.00
Fractional positions:
Pt  0.000  0.000  0.000
Rh  0.500  0.500  0.500
O  0.000  0.500  0.500
O  0.500  0.000  0.500
F  0.500  0.500  0.000


(22)
Entry from Alexandria: crystalline RuPtO2F at its relaxed geometry (PBE-GGA).

abc: 3.791 3.791 4.439
angles: 90.00 90.00 90.00
Fractional positions:
Ru  0.000  0.000  0.000
Pt  0.500  0.500  0.500
O  0.000  0.500  0.000
O  0.500  0.000  0.000
F  0.000  0.000  0.500


(23)
Entry from Alexandria: crystalline RuPtO2F at its relaxed geometry (PBE-GGA).

abc: 3.983 3.983 4.318
angles: 90.00 90.00 90.00
Fractional positions:
Ru  0.000  0.000  0.000
Pt  0.500  0.500  0.500
O  0.000  0.500  0.500
O  0.500  0.000  0.500
F  0.500  0.500  0.000


(24)
Entry from Alexandria: crystalline RuPtOF2 at its relaxed geometry (PBE-GGA).

Output
Energy above the most stable polymorph in this dataset ... 358 meV/atom

abc: 4.479 4.479 3.798
angles: 90.00 90.00 90.00
Fractional positions:
Ru  0.000  0.000  0.000
Pt  0.500  0.500  0.500
O  0.500  0.500  0.000
F  0.000  0.500  0.500
F  0.500  0.000  0.500


(25)
Entry from Alexandria: crystalline Ru2PtOF at its relaxed geometry (PBE-GGA).

abc: 5.069 5.069 3.765
angles: 90.00 90.00 90.00
Fractional positions:
Ru  0.000  0.500  0.000
Ru  0.500  0.000  0.000
Pt  0.000  0.000  0.000
O  0.000  0.000  0.500
F  0.500  0.500  0.500


(26)
Entry from Alexandria: crystalline RuPtOF2 at its relaxed geometry (PBE-GGA).

Output
Energy above the most stable polymorph in this dataset ... 0 meV/atom

abc: 4.310 4.310 3.671
angles: 90.00 90.00 90.00
Fractional positions:
Ru  0.000  0.000  0.000
Pt  0.500  0.500  0.500
O  0.000  0.000  0.500
F  0.000  0.500  0.000
F  0.500  0.000  0.000


(27)
Entry from Alexandria: crystalline PtSO2F at its relaxed geometry (PBE-GGA).

abc: 3.977 3.977 4.197
angles: 90.00 90.00 90.00
Fractional positions:
Pt  0.000  0.000  0.000
S  0.500  0.500  0.500
O  0.000  0.500  0.000
O  0.500  0.000  0.000
F  0.000  0.000  0.500


Calculated values (eV per atom) of ΔE_f (raw) for the records, taken in order: 0.35; -0.82; 0.21; -0.54; 0.64; -0.61; -0.17; -0.41; 0.32; -0.39; 0.32; 0.58; 0.51; -1.46; 1.10; -1.06; -1.63; -0.06; 0.04; 0.22; 0.18; -0.03; 0.37; 0.18; 1.09; -0.18; 0.37.
Calculated values (eV per atom) of total DFT energy (no corrections) for the records, taken in order: -4.108; -4.012; -4.243; -3.621; -4.346; -4.299; -4.625; -4.562; -3.839; -4.848; -3.368; -3.110; -3.174; -4.334; -2.661; -4.820; -4.049; -4.480; -4.375; -4.817; -4.852; -5.451; -5.048; -4.627; -5.199; -4.985; -4.023.